# 1
## RbHIr2 (PBE)

Data for an optimized crystal structure of RbHIr2.

Results
Crystal system   cubic
Raw total energy   -38.85 eV for the cell shown
Space-group type   Fd-3m (227)
ΔE to the lowest computed polymorph   0.00 eV/f.u.
Total moment   0.215 μB per atom

Cell: 5.795 5.795 5.795 Å, 60.00 60.00 60.00°
Positions (direct):
Rb: 0.125 0.125 0.125
Rb: 0.875 0.875 0.875
H: 0.375 0.375 0.375
H: 0.625 0.625 0.625
Ir: 0.000 0.500 0.500
Ir: 0.500 0.000 0.500
Ir: 0.500 0.500 0.000
Ir: 0.500 0.500 0.500

=====

# 2
## Ti2AlPd8 (PBE)

Data for an optimized crystal structure of Ti2AlPd8.

Results
Crystal system   monoclinic
Raw total energy   -67.52 eV for the cell shown
Space-group type   C2/m (12)
Total moment   0.000 μB per atom
Energy of formation from the pure elements   -6.4 eV per formula unit

Cell: 7.636 7.636 5.775 Å, 112.16 112.16 33.63°
Positions (direct):
Ti: 0.190 0.190 0.189
Ti: 0.810 0.810 0.811
Al: 0.500 0.500 0.500
Pd: 0.000 0.000 0.240
Pd: 0.000 0.000 0.760
Pd: 0.182 0.182 0.682
Pd: 0.360 0.360 0.096
Pd: 0.360 0.360 0.623
Pd: 0.640 0.640 0.377
Pd: 0.640 0.640 0.904
Pd: 0.818 0.818 0.318

=====

# 3
## K2BaMo (PBE)

Data for an optimized crystal structure of K2BaMo.

Results
Crystal system   tetragonal
Raw total energy   -10.57 eV for the cell shown
Space-group type   I-4m2 (119)
ΔE to the lowest computed polymorph   0.45 eV/f.u.
Total moment   1.065 μB per atom
Energy of formation from the pure elements   4.4 eV per formula unit

Cell: 6.377 6.377 6.377 Å, 120.16 120.16 89.72°
Positions (direct):
K: 0.000 0.000 0.000
K: 0.750 0.250 0.500
Ba: 0.500 0.500 0.000
Mo: 0.250 0.750 0.500

=====

# 4
## Dy3SbO3 (PBE)

Data for an optimized crystal structure of Dy3SbO3.

Results
Crystal system   trigonal
Raw total energy   -104.07 eV for the cell shown
Space-group type   R-3 (148)
Energy relative to the elements, uncorrected   -19.23 eV per formula unit
ΔE to the lowest computed polymorph   0.78 eV/f.u.
Total moment   0.000 μB per atom

Cell: 8.311 8.311 8.311 Å, 47.23 47.23 47.23°
Positions (direct):
Dy: 0.044 0.401 0.748
Dy: 0.252 0.956 0.599
Dy: 0.401 0.748 0.044
Dy: 0.599 0.252 0.956
Dy: 0.748 0.044 0.401
Dy: 0.956 0.599 0.252
Sb: 0.167 0.167 0.167
Sb: 0.833 0.833 0.833
O: 0.061 0.693 0.366
O: 0.307 0.634 0.939
O: 0.366 0.061 0.693
O: 0.634 0.939 0.307
O: 0.693 0.366 0.061
O: 0.939 0.307 0.634

=====

# 5
## FeIr2Pd (PBE)

Data for an optimized crystal structure of FeIr2Pd.

Results
Crystal system   trigonal
Raw total energy   -31.38 eV for the cell shown
Space-group type   R3m (160)
ΔE to the lowest computed polymorph   0.03 eV/f.u.
Total moment   0.504 μB per atom
Energy of formation from the pure elements   0.0 eV per formula unit

Cell: 8.874 8.874 8.874 Å, 17.64 17.64 17.64°
Positions (direct):
Fe: 0.000 0.000 0.000
Ir: 0.589 0.589 0.589
Ir: 0.744 0.744 0.744
Pd: 0.167 0.167 0.167